DFT (GGA-PBE) results for crystalline DyMgO3 at its relaxed geometry.

Geometry as POSCAR:
```
DyMgO3
1.0
2.757 1.592 4.746
-2.757 1.592 4.746
0.000 -3.183 4.746
Dy Mg O
2 2 6
Direct
0.136 0.136 0.136
0.864 0.864 0.864
0.352 0.352 0.352
0.648 0.648 0.648
0.053 0.724 0.465
0.276 0.535 0.947
0.465 0.053 0.724
0.535 0.947 0.276
0.724 0.465 0.053
0.947 0.276 0.535
```

- Volume: 12.49 Å³/atom
- Symmetry: No. 148
- E: -6.778 eV/atom



DFT (GGA-PBE) results for crystalline Dy2Mg2O5 at its relaxed geometry.

Geometry as POSCAR:
```
Dy2Mg2O5
1.0
3.833 0.000 0.000
0.000 3.833 0.000
0.000 0.000 7.116
Dy Mg O
2 2 5
Direct
0.000 0.000 0.000
0.000 0.000 0.500
0.500 0.500 0.238
0.500 0.500 0.762
0.000 0.500 0.200
0.000 0.500 0.800
0.500 0.000 0.200
0.500 0.000 0.800
0.500 0.500 0.500
```

- Volume: 11.61 Å³/atom
- Symmetry: No. 123
- E above lowest polymorph: 0 meV per atom



The lowest volume belongs to which entry? Dy2Mg2O5